# 1
RbLi2HgPt after structural relaxation, computed with PBE.

Unit cell a=5.0142 b=5.0142 c=5.4095 alpha=90.00 beta=90.00 gamma=90.00
With the nearest neighbours (Å) after each atom.
Fractional positions:
Hg 0.0000 0.0000 0.5000  2 Pt 2.70
Rb 0.5000 0.5000 0.5000  4 Hg 3.55, 8 Li 3.69
Li 0.0000 0.5000 0.0000  2 Pt 2.51
Li 0.5000 0.0000 0.0000  2 Pt 2.51
Pt 0.0000 0.0000 0.0000  4 Li 2.51, 2 Hg 2.70

Results
As for the space-group type: P4/mmm. The formation energy comes out at -0.237 eV/atom.

---

# 2
Sr3CuPtO6 after structural relaxation, computed with PBE.

Unit cell a=6.8343 b=6.8343 c=6.7576 alpha=89.20 beta=89.20 gamma=92.14
With the nearest neighbours (Å) after each atom.
Fractional positions:
O 0.0782 0.2178 0.5687  1 Pt 2.07
O 0.7180 0.3930 0.4634  1 Cu 2.02, 1 Pt 2.06
O 0.4784 0.1043 0.7147  1 Cu 2.00, 1 Pt 2.06
O 0.9218 0.7822 0.4313  1 Pt 2.07
O 0.1043 0.4784 0.2147  1 Cu 2.00, 1 Pt 2.06
O 0.2178 0.0782 0.0687  1 Pt 2.07
O 0.7822 0.9218 0.9313  1 Pt 2.07
O 0.8957 0.5216 0.7853  1 Cu 2.00, 1 Pt 2.06
O 0.6070 0.2820 0.0366  1 Cu 2.02, 1 Pt 2.06
O 0.2820 0.6070 0.5366  1 Cu 2.02, 1 Pt 2.06
O 0.3930 0.7180 0.9634  1 Cu 2.02, 1 Pt 2.06
O 0.5216 0.8957 0.2853  1 Cu 2.00, 1 Pt 2.06
Sr 0.2403 0.3898 0.8769  6 O 2.48-2.73
Sr 0.9021 0.0979 0.2500  4 O 2.48-2.61
Sr 0.0979 0.9021 0.7500  4 O 2.48-2.61
Sr 0.6102 0.7597 0.6231  6 O 2.48-2.73
Sr 0.7597 0.6102 0.1231  6 O 2.48-2.73
Sr 0.3898 0.2403 0.3769  6 O 2.48-2.73
Cu 0.6931 0.3069 0.7500  4 O 2.00-2.02
Cu 0.3069 0.6931 0.2500  4 O 2.00-2.02
Pt 0.0000 0.5000 0.5000  6 O 2.06-2.07
Pt 0.5000 0.0000 0.0000  6 O 2.06-2.07

Results
As for the space-group type: C2/c. As for the formation energy without anion corrections: -1856 meV per atom.

---

# 3
Mg2Co5Ge4 after structural relaxation, computed with PBE.

Unit cell a=5.2233 b=5.1759 c=7.5391 alpha=79.93 beta=69.73 gamma=59.70
With the nearest neighbours (Å) after each atom.
Fractional positions:
Ge 0.4712 0.3176 0.7401  5 Co 2.29-2.40
Ge 0.5288 0.6824 0.2599  5 Co 2.29-2.40
Ge 0.2113 0.3176 0.2599  5 Co 2.29-2.40
Ge 0.7887 0.6824 0.7401  5 Co 2.29-2.40
Mg 0.8946 0.0000 0.2107  1 Mg 2.98, 10 Co 2.99-3.30, 6 Ge 2.99-3.07
Mg 0.1054 0.0000 0.7893  1 Mg 2.98, 10 Co 2.99-3.30, 6 Ge 2.99-3.07
Co 0.2500 0.5000 0.5000  4 Ge 2.29
Co 0.5000 0.0000 0.0000  4 Ge 2.32, 4 Co 2.59
Co 0.5000 0.5000 0.0000  4 Ge 2.40, 4 Co 2.59-2.61
Co 0.7500 0.5000 0.5000  4 Ge 2.29
Co 0.0000 0.5000 0.0000  4 Ge 2.40, 4 Co 2.59-2.61

Results
As for the space-group type: Fmmm. The formation energy comes out at -0.145 eV/atom.

---

# 4
LiHoAl after structural relaxation, computed with PBE.

Unit cell a=3.2169 b=4.8212 c=4.8212 alpha=120.00 beta=90.00 gamma=90.00
With the nearest neighbours (Å) after each atom.
Fractional positions:
Li 0.1656 0.0000 0.0000  3 Al 2.78
Ho 0.6669 0.6667 0.3333  6 Li 3.21-3.22, 6 Al 3.21-3.22, 2 Ho 3.22
Al 0.1675 0.3333 0.6667  3 Li 2.78

Results
The energy above the lowest structure with this stoichiometry comes out at 0.000 eV per atom. As for the space-group type: P3m1. The formation energy comes out at -0.203 eV/atom.

---

# 5
LaNi2Hg after structural relaxation, computed with PBE.

Unit cell a=4.8464 b=4.8464 c=4.8464 alpha=60.00 beta=60.00 gamma=60.00
With the nearest neighbours (Å) after each atom.
Fractional positions:
Ni 0.2500 0.2500 0.2500  4 Hg 2.97, 4 Ni 2.97
Ni 0.0000 0.0000 0.0000  4 La 2.97, 4 Ni 2.97
Hg 0.5000 0.5000 0.5000  4 La 2.97, 4 Ni 2.97
La 0.7500 0.7500 0.7500  4 Hg 2.97, 4 Ni 2.97

Results
As for the space-group type: F-43m. The formation energy comes out at 0.095 eV/atom.

---

# 6
V2BiMoRh after structural relaxation, computed with PBE.

Unit cell a=4.6140 b=4.8212 c=4.6140 alpha=90.00 beta=90.00 gamma=90.00
With the nearest neighbours (Å) after each atom.
Fractional positions:
V 0.5000 0.0000 0.0000  2 Rh 2.31
V 0.0000 0.0000 0.5000  2 Rh 2.31
Bi 0.5000 0.5000 0.5000  4 Mo 3.26, 8 V 3.34
Rh 0.0000 0.0000 0.0000  4 V 2.31, 2 Mo 2.41
Mo 0.0000 0.5000 0.0000  2 Rh 2.41

Results
As for the space-group type: P4/mmm. The formation energy comes out at 1.043 eV/atom.

---

What total magnetic moment values result from the calculations? In sequence: 0.000, 0.089, 0.000, 0.000, 0.019, 0.177 μB/atom.
What final energy values result from the calculations? In sequence: -2.464, -5.940, -5.344, -3.615, -4.103, -7.017 eV/atom.